# PBE CsZnRe3, optimized geometry
# Distance to the lowest polymorph of the same formula in meV per atom: 1411
# Calculated formation energy in eV/atom: 4.099
# Total DFT energy (no corrections) in eV/f.u.: -19.0
# Space-group type: No. 221
# Volume in Å³ per cell: 120
# Crystal system: cubic
# Spin magnetization in μB per cell: 3.75
data_CsZnRe3
_chemical_formula_sum 'Cs1 Zn1 Re3'
_space_group_name_H-M_alt 'P 1'
_space_group_IT_number 1
_space_group_name_Hall 'P 1'
_cell_length_a 4.9366
_cell_length_b 4.9366
_cell_length_c 4.9366
_cell_angle_alpha 90.00
_cell_angle_beta 90.00
_cell_angle_gamma 90.00
loop_
_atom_site_label
_atom_site_fract_x
_atom_site_fract_y
_atom_site_fract_z
Cs1 0.0000 0.0000 0.0000
Zn1 0.5000 0.5000 0.5000
Re1 0.0000 0.0000 0.5000
Re2 0.0000 0.5000 0.0000
Re3 0.5000 0.0000 0.0000


# PBE P2IrPt, optimized geometry
# Distance to the lowest polymorph of the same formula in meV per atom: 0
# Calculated formation energy in eV/atom: -0.387
# Total DFT energy (no corrections) in eV/f.u.: -27.3
# Space-group type: No. 8
# Volume in Å³ per cell: 64
# Crystal system: monoclinic
# Spin magnetization in μB per cell: 0.00
data_P2IrPt
_chemical_formula_sum 'P2 Ir1 Pt1'
_space_group_name_H-M_alt 'P 1'
_space_group_IT_number 1
_space_group_name_Hall 'P 1'
_cell_length_a 4.0676
_cell_length_b 4.0676
_cell_length_c 5.1918
_cell_angle_alpha 90.05
_cell_angle_beta 90.05
_cell_angle_gamma 48.63
loop_
_atom_site_label
_atom_site_fract_x
_atom_site_fract_y
_atom_site_fract_z
P1 0.0000 0.0000 0.0000
P2 0.6964 0.6964 0.4755
Ir1 0.2801 0.2801 0.1893
Pt1 0.4194 0.4194 0.6940


# PBE PbC, optimized geometry
# Distance to the lowest polymorph of the same formula in meV per atom: 957
# Calculated formation energy in eV/atom: 1.809
# Total DFT energy (no corrections) in eV/f.u.: -9.3
# Space-group type: No. 225
# Volume in Å³ per cell: 33
# Crystal system: cubic
# Spin magnetization in μB per cell: 0.00
data_PbC
_chemical_formula_sum 'Pb1 C1'
_space_group_name_H-M_alt 'P 1'
_space_group_IT_number 1
_space_group_name_Hall 'P 1'
_cell_length_a 3.6100
_cell_length_b 3.6100
_cell_length_c 3.6100
_cell_angle_alpha 60.00
_cell_angle_beta 60.00
_cell_angle_gamma 60.00
loop_
_atom_site_label
_atom_site_fract_x
_atom_site_fract_y
_atom_site_fract_z
Pb1 0.0000 0.0000 0.0000
C1 0.5000 0.5000 0.5000


# PBE AsBrF3, optimized geometry
# Raw formation energy in eV/atom: -1.1286
# Distance to the lowest polymorph of the same formula in meV per atom: 484
# Total DFT energy (no corrections) in eV/f.u.: -17.6
# Space-group type: No. 221
# Volume in Å³ per cell: 78
# Crystal system: cubic
# Spin magnetization in μB per cell: 1.00
data_AsBrF3
_chemical_formula_sum 'As1 Br1 F3'
_space_group_name_H-M_alt 'P 1'
_space_group_IT_number 1
_space_group_name_Hall 'P 1'
_cell_length_a 4.2685
_cell_length_b 4.2685
_cell_length_c 4.2685
_cell_angle_alpha 90.00
_cell_angle_beta 90.00
_cell_angle_gamma 90.00
loop_
_atom_site_label
_atom_site_fract_x
_atom_site_fract_y
_atom_site_fract_z
As1 0.0000 0.0000 0.0000
Br1 0.5000 0.5000 0.5000
F1 0.0000 0.0000 0.5000
F2 0.0000 0.5000 0.0000
F3 0.5000 0.0000 0.0000


# PBE BaCa2SiRh, optimized geometry
# Raw formation energy in eV/atom: -0.3137
# Total DFT energy (no corrections) in eV/f.u.: -20.3
# Space-group type: No. 123
# Volume in Å³ per cell: 146
# Crystal system: tetragonal
# Spin magnetization in μB per cell: 0.00
data_BaCa2SiRh
_chemical_formula_sum 'Ba1 Ca2 Si1 Rh1'
_space_group_name_H-M_alt 'P 1'
_space_group_IT_number 1
_space_group_name_Hall 'P 1'
_cell_length_a 5.5248
_cell_length_b 5.5248
_cell_length_c 4.7970
_cell_angle_alpha 90.00
_cell_angle_beta 90.00
_cell_angle_gamma 90.00
loop_
_atom_site_label
_atom_site_fract_x
_atom_site_fract_y
_atom_site_fract_z
Ba1 0.0000 0.0000 0.0000
Ca1 0.0000 0.5000 0.5000
Ca2 0.5000 0.0000 0.5000
Si1 0.5000 0.5000 0.0000
Rh1 0.5000 0.5000 0.5000


# PBE LaPr2Er, optimized geometry
# Distance to the lowest polymorph of the same formula in meV per atom: 6
# Calculated formation energy in eV/atom: 0.020
# Total DFT energy (no corrections) in eV/f.u.: -19.0
# Space-group type: No. 12
# Volume in Å³ per cell: 140
# Crystal system: monoclinic
# Spin magnetization in μB per cell: 0.00
data_LaPr2Er
_chemical_formula_sum 'La1 Pr2 Er1'
_space_group_name_H-M_alt 'P 1'
_space_group_IT_number 1
_space_group_name_Hall 'P 1'
_cell_length_a 6.3715
_cell_length_b 6.3715
_cell_length_c 6.3146
_cell_angle_alpha 99.73
_cell_angle_beta 99.73
_cell_angle_gamma 33.65
loop_
_atom_site_label
_atom_site_fract_x
_atom_site_fract_y
_atom_site_fract_z
La1 0.0000 0.0000 0.0000
Pr1 0.2474 0.2474 0.7479
Pr2 0.7526 0.7526 0.2521
Er1 0.5000 0.5000 0.5000